(1)
A plane-wave DFT calculation with GGA-PBE was carried out for a geometry-optimized CaTaTlCu2 structure.

extended XYZ file:
```
5
Lattice="-1.001 -4.776 -0.091 4.570 -0.905 -2.778 2.431 -0.589 4.191" Properties=species:S:1:pos:R:3 pbc="T T T"
Ta 0.000 0.000 0.000
Cu 1.215 -0.295 2.095
Cu -0.500 -2.388 -0.046
Ca 3.000 -3.135 0.661
Tl 2.285 -0.452 -1.389
```

Results
Spin magnetization ... 0.00 μB/cell
Formation enthalpy at 0 K ... 716 meV/atom
VASP energy ... -20.83 eV/f.u.
ρ ... 7.1 g/cm3
DOS(E_F) ... 5.2 states/eV/f.u.


(2)
A plane-wave DFT calculation with GGA-PBE was carried out for a geometry-optimized Ca2AgBi2 structure.

extended XYZ file:
```
10
Lattice="8.017 0.000 0.000 0.000 8.017 0.000 0.000 0.000 4.693" Properties=species:S:1:pos:R:3 pbc="T T T"
Ca 2.700 1.309 2.347
Ca 5.317 6.708 2.347
Ca 1.309 5.317 2.347
Ca 6.708 2.700 2.347
Bi 2.842 6.850 0.000
Bi 1.166 2.842 0.000
Bi 5.175 1.166 0.000
Bi 6.850 5.175 0.000
Ag 4.008 4.008 0.000
Ag 0.000 0.000 0.000
```

Results
Spin magnetization ... 0.00 μB/cell
Relative energy among the computed polymorphs ... 0.083 eV per atom
Formation enthalpy at 0 K ... -497 meV/atom
VASP energy ... -17.10 eV/f.u.
ρ ... 6.7 g/cm3
DOS(E_F) ... 2.6 states/eV/f.u.


(3)
A plane-wave DFT calculation with GGA-PBE was carried out for a geometry-optimized PaMnPt2 structure.

extended XYZ file:
```
4
Lattice="-1.103 -0.852 -3.369 3.473 -0.375 -1.042 -0.157 -5.365 1.408" Properties=species:S:1:pos:R:3 pbc="T T T"
Mn 1.185 -0.614 -2.206
Pt -0.120 -4.082 1.071
Pt -0.038 -1.284 0.337
Pa 1.106 -3.296 -1.502
```

Results
Spin magnetization ... 2.94 μB/cell
Formation enthalpy at 0 K ... -598 meV/atom
VASP energy ... -33.14 eV/f.u.
ρ ... 15.2 g/cm3
DOS(E_F) ... 3.2 states/eV/f.u.